Zr2GeSbI, single point on PBEsol structure, DFT SCAN; crystal system = tetragonal; energy relative to the elements, uncorrected = 1.12 eV/atom; spin magnetization = 0.00 μB per formula unit
1.0
-3.840 -2.846 -2.468
3.358 -4.183 -0.401
-1.774 -1.898 4.949
I Sb Ge Zr
1 1 1 2
Direct
0.000 0.000 0.500
0.000 0.000 0.000
0.500 0.500 0.500
0.000 0.500 0.000
0.500 0.000 0.000